First-principles (PBE) data for a relaxed MgNi2Mo2 crystal, as listed in Alexandria.

* relative energy among the computed polymorphs: 0 meV/atom
* electronic total energy: -6.796 eV per atom
* ΔE_f: 168 meV/atom
* density of states at the Fermi level: 11.346 states/eV per cell
* symmetry: P4/mbm

abc: 7.2967 7.2967 2.7380
angles: 90.00 90.00 90.00
Closest atoms and distances in Å follow each position.
Fractional coordinates of all 10 atoms:
Mg: 0.0000 0.0000 0.0000  2 Mg 2.74, 4 Ni 2.91, 8 Mo 3.03
Mg: 0.5000 0.5000 0.0000  2 Mg 2.74, 4 Ni 2.91, 8 Mo 3.03
Ni: 0.1202 0.3797 0.0000  3 Ni 2.48-2.74, 6 Mo 2.54-2.57
Ni: 0.3797 0.8798 0.0000  3 Ni 2.48-2.74, 6 Mo 2.54-2.57
Ni: 0.6202 0.1202 0.0000  3 Ni 2.48-2.74, 6 Mo 2.54-2.57
Ni: 0.8798 0.6202 0.0000  3 Ni 2.48-2.74, 6 Mo 2.54-2.57
Mo: 0.1725 0.6725 0.5000  6 Ni 2.54-2.57, 2 Mo 2.74
Mo: 0.3275 0.1725 0.5000  6 Ni 2.54-2.57, 2 Mo 2.74
Mo: 0.6725 0.8275 0.5000  6 Ni 2.54-2.57, 2 Mo 2.74
Mo: 0.8275 0.3275 0.5000  6 Ni 2.54-2.57, 2 Mo 2.74